Record 1
First-principles (PBE) data for Ce12Pt6Pb after structural relaxation, as listed in Alexandria.

Calculated values
**Calculated total energy**: -6.37 eV/atom

Unit cell a=8.437 b=8.437 c=8.437 alpha=98.84 beta=98.84 gamma=98.84
Atoms (fractional coordinates):
1 Ce 0.051 0.944 0.640
2 Ce 0.056 0.360 0.949
3 Ce 0.182 0.578 0.418
4 Ce 0.360 0.949 0.056
5 Ce 0.418 0.182 0.578
6 Ce 0.422 0.582 0.818
7 Ce 0.578 0.418 0.182
8 Ce 0.582 0.818 0.422
9 Ce 0.640 0.051 0.944
10 Ce 0.818 0.422 0.582
11 Ce 0.944 0.640 0.051
12 Ce 0.949 0.056 0.360
13 Pt 0.136 0.325 0.622
14 Pt 0.325 0.622 0.136
15 Pt 0.378 0.864 0.675
16 Pt 0.622 0.136 0.325
17 Pt 0.675 0.378 0.864
18 Pt 0.864 0.675 0.378
19 Pb 0.000 0.000 0.000



Record 2
First-principles (PBE) data for Ac2PrCrN4 after structural relaxation, as listed in Alexandria.

Calculated values
**Calculated total energy**: -7.82 eV/atom
**Uncorrected formation energy**: -6.67 eV/f.u.

Unit cell a=6.728 b=6.728 c=12.788 alpha=90.00 beta=90.00 gamma=148.51
Atoms (fractional coordinates):
1 Ac 0.130 0.870 0.541
2 Ac 0.130 0.870 0.959
3 Ac 0.870 0.130 0.041
4 Ac 0.870 0.130 0.459
5 Pr 0.365 0.635 0.750
6 Pr 0.635 0.365 0.250
7 Cr 0.322 0.678 0.250
8 Cr 0.678 0.322 0.750
9 N 0.127 0.873 0.750
10 N 0.223 0.777 0.140
11 N 0.223 0.777 0.360
12 N 0.500 0.500 0.000
13 N 0.500 0.500 0.500
14 N 0.777 0.223 0.640
15 N 0.777 0.223 0.860
16 N 0.873 0.127 0.250



Record 3
First-principles (PBE) data for Y2TcH after structural relaxation, as listed in Alexandria.

Calculated values
**Calculated total energy**: -6.41 eV/atom
**ΔE to the lowest computed polymorph**: 0.1421 eV/atom

Unit cell a=4.768 b=4.768 c=4.768 alpha=60.00 beta=60.00 gamma=60.00
Atoms (fractional coordinates):
1 Y 0.250 0.250 0.250
2 Y 0.750 0.750 0.750
3 Tc 0.000 0.000 0.000
4 H 0.500 0.500 0.500



Record 4
First-principles (PBE) data for KRhCl2 after structural relaxation, as listed in Alexandria.

Calculated values
**Calculated total energy**: -3.73 eV/atom
**ΔE to the lowest computed polymorph**: 0.0840 eV/atom
**Uncorrected formation energy**: -2.79 eV/f.u.

Unit cell a=6.777 b=6.777 c=6.777 alpha=35.52 beta=35.52 gamma=35.52
Atoms (fractional coordinates):
1 K 0.000 0.000 0.000
2 Rh 0.500 0.500 0.500
3 Cl 0.231 0.231 0.231
4 Cl 0.769 0.769 0.769